! S2OF, optimized geometry, DFT PBE-GGA; values from VASP
! Offset from the most stable computed form (eV per atom): 0.0516
! Space group: I-42d (122)
! Magnetic moment (μB/cell): 0.00
&SYSTEM
  ibrav = 0, nat = 8, ntyp = 3
/
ATOMIC_SPECIES
S 32.06 S.upf
O 16.00 O.upf
F 19.00 F.upf
ATOMIC_POSITIONS angstrom
S 2.5375 1.0014 1.6930
S 1.4683 3.0043 1.6930
S 3.0043 3.4711 5.0790
S 5.0071 4.5403 5.0790
O 2.0029 2.0029 0.0000
O 2.0029 4.0057 3.3860
F 0.0000 0.0000 0.0000
F 4.0057 2.0029 3.3860
CELL_PARAMETERS angstrom
4.0057 0.0000 0.0000
0.0000 4.0057 0.0000
2.0029 2.0029 6.7721

=====

! SnNCl2, optimized geometry, DFT PBE-GGA; values from VASP
! Offset from the most stable computed form (eV per atom): 0.0000
! Space group: C2/m (12)
! Magnetic moment (μB/cell): 6.01
&SYSTEM
  ibrav = 0, nat = 8, ntyp = 3
/
ATOMIC_SPECIES
Sn 118.71 Sn.upf
N 14.01 N.upf
Cl 35.45 Cl.upf
ATOMIC_POSITIONS angstrom
Sn 0.4647 2.9131 2.8407
Sn 2.5863 6.7634 3.5470
N 2.1755 1.9580 1.0364
N 0.8755 7.7186 5.3512
Cl 0.3867 7.8664 2.3635
Cl 0.7840 4.7563 4.7924
Cl 2.2670 4.9202 1.5952
Cl 2.6643 1.8101 4.0241
CELL_PARAMETERS angstrom
3.9074 0.0000 -0.6392
0.0376 8.5712 0.2293
-0.8940 1.1053 6.7975

=====

! AcGa4Pd, optimized geometry, DFT PBE-GGA; values from VASP
! Offset from the most stable computed form (eV per atom): 0.0000
! Space group: Cmcm (63)
! Magnetic moment (μB/cell): 0.00
! Energy of formation from the pure elements (eV per formula unit): -3.449
&SYSTEM
  ibrav = 0, nat = 12, ntyp = 3
/
ATOMIC_SPECIES
Ac 227.00 Ac.upf
Ga 69.72 Ga.upf
Pd 106.42 Pd.upf
ATOMIC_POSITIONS angstrom
Ac 0.4845 1.7178 1.8676
Ac 3.7220 5.1534 5.4714
Ga 2.1575 3.4356 -0.5597
Ga 2.1575 0.0000 -0.5597
Ga 2.9041 6.4759 2.3183
Ga 1.3024 0.3953 5.0207
Ga 1.3024 3.0403 5.0207
Ga 2.9041 3.8309 2.3183
Ga 0.2899 5.1534 1.1175
Ga 3.9166 1.7178 6.2215
Pd 0.9148 5.1534 3.5266
Pd 3.2917 1.7178 3.8125
CELL_PARAMETERS angstrom
4.3150 0.0000 -1.1193
0.0000 6.8712 0.0000
-0.1086 0.0000 8.4584